The following is a GGA-PBE calculation of crystalline CsAlGaS2 at its relaxed geometry, from Alexandria.

Lattice parameters (Å, degrees): 4.9844 4.9844 5.9090 90.00 90.00 90.00
Space group P4/mmm (No. 123)
Asymmetric unit:
Cs 0.0000 0.0000 0.0000 [1 per cell]
Al 0.5000 0.5000 0.0000 [1 per cell]
Ga 0.0000 0.0000 0.5000 [1 per cell]
S 0.0000 0.5000 0.5000 [2 per cell]

Properties
Its total DFT energy (no corrections) is -14.361 eV per formula unit.